w) TcNF2 after structural relaxation, computed with PBE-GGA.

Summary:
D(E_F) ... 0.724 states/eV/atom
Calculated density ... 4.372 g/cm³

a = 2.6608 Å, b = 2.6608 Å, c = 27.8776 Å
α = 90.00°, β = 90.00°, γ = 120.00°
Last column: nearest neighbours and their distance in Å.
Space group R-3m (No. 166, hexagonal axes)
One atom of each set of equivalent atoms:
Tc 0.0000 0.0000 0.0000 [3 per cell]  2 F 1.87
N 0.0000 0.0000 0.5000 [3 per cell]  6 N 2.66
F 0.0000 0.0000 0.0672 [6 per cell]  1 Tc 1.87

x) TcNF2 after structural relaxation, computed with PBE-GGA.

Summary:
D(E_F) ... 0.065 states/eV/atom
Calculated density ... 5.539 g/cm³

a = 5.6448 Å, b = 5.6448 Å, c = 5.6448 Å
α = 90.00°, β = 90.00°, γ = 90.00°
Last column: nearest neighbours and their distance in Å.
Space group Fm-3m (No. 225)
One atom of each set of equivalent atoms:
Tc 0.0000 0.0000 0.0000 [4 per cell]  8 F 2.44
N 0.0000 0.0000 0.5000 [4 per cell]  8 F 2.44
F 0.2500 0.2500 0.2500 [8 per cell]  4 Tc 2.44, 4 N 2.44

Most stable structure: w)